First-principles (PBE) data for a relaxed structure of Al2TlCo, as listed in Alexandria.

a b c (Å): 5.370 7.689 3.292
angles (deg): 90.00 90.00 90.00
Space group Cmmm (No. 65)
Asymmetric unit:
Al: 0.250 0.250 0.000 [4 per cell]
Tl: 0.000 0.000 0.500 [2 per cell]
Co: 0.000 0.500 0.500 [2 per cell]

Final energy ... -3.8925 eV/atom
ΔH_f (0 K) ... 347 meV per atom